No. 1
# NbAl4Fe5

A relaxed structure of NbAl4Fe5 (PBE-GGA, Alexandria).

Values from the calculation:
Space group   P4/mmm (123)
N(E_F)   9.3 states/eV/cell
Crystal system   tetragonal
V   124.2 Å³/cell

abc: 2.9434 2.9434 14.3318
angles: 90.00 90.00 90.00
Fractional positions:
1 Nb 0.0000 0.0000 0.0000
2 Al 0.0000 0.0000 0.2072
3 Al 0.0000 0.0000 0.4017
4 Al 0.0000 0.0000 0.5983
5 Al 0.0000 0.0000 0.7928
6 Fe 0.5000 0.5000 0.1047
7 Fe 0.5000 0.5000 0.3048
8 Fe 0.5000 0.5000 0.5000
9 Fe 0.5000 0.5000 0.6952
10 Fe 0.5000 0.5000 0.8953

=====

No. 2
# NbAlFe2

A relaxed structure of NbAlFe2 (PBE-GGA, Alexandria).

Values from the calculation:
Space group   P4/mmm (123)
N(E_F)   1.1 states/eV/cell
Crystal system   tetragonal
V   52.2 Å³/cell

abc: 4.1369 4.1369 3.0477
angles: 90.00 90.00 90.00
Fractional positions:
1 Nb 0.0000 0.0000 0.0000
2 Al 0.5000 0.5000 0.0000
3 Fe 0.0000 0.5000 0.5000
4 Fe 0.5000 0.0000 0.5000

=====

No. 3
# NbAl5Fe6

A relaxed structure of NbAl5Fe6 (PBE-GGA, Alexandria).

Values from the calculation:
Space group   Immm (71)
N(E_F)   12.5 states/eV/cell
Crystal system   orthorhombic
V   147.1 Å³/cell

abc: 7.1133 7.1133 7.1133
angles: 146.37 131.85 60.01
Fractional positions:
1 Nb 0.0000 0.0000 0.0000
2 Al 0.1651 0.6651 0.5000
3 Al 0.3332 0.3332 0.0000
4 Al 0.5000 0.0000 0.5000
5 Al 0.6668 0.6668 0.0000
6 Al 0.8349 0.3349 0.5000
7 Fe 0.0842 0.8302 0.2540
8 Fe 0.2583 0.5000 0.7583
9 Fe 0.4238 0.1698 0.2540
10 Fe 0.5762 0.8302 0.7460
11 Fe 0.7417 0.5000 0.2417
12 Fe 0.9158 0.1698 0.7460

=====

No. 4
# Nb2AlFe2

A relaxed structure of Nb2AlFe2 (PBE-GGA, Alexandria).

Values from the calculation:
Space group   P4/mbm (127)
N(E_F)   10.1 states/eV/cell
Crystal system   tetragonal
V   147.4 Å³/cell

abc: 6.9332 6.9332 3.0668
angles: 90.00 90.00 90.00
Fractional positions:
1 Nb 0.1707 0.3293 0.0000
2 Nb 0.3293 0.8293 0.0000
3 Nb 0.6707 0.1707 0.0000
4 Nb 0.8293 0.6707 0.0000
5 Al 0.0000 0.0000 0.5000
6 Al 0.5000 0.5000 0.5000
7 Fe 0.1315 0.6315 0.5000
8 Fe 0.3685 0.1315 0.5000
9 Fe 0.6315 0.8685 0.5000
10 Fe 0.8685 0.3685 0.5000

=====

| no. | energy of formation from the pure elements (meV/atom) |
| --- | --- |
| 1 | -293 |
| 2 | -299 |
| 3 | -334 |
| 4 | -111 |